1.
Ba2MgZn2 (PBE, relaxed); polymorph energy (0 for the lowest one) = 0.0 meV per atom; calculated volume = 330.4 Å³/cell; symmetry = C2/c, No. 15; formation energy = -138.4 meV per atom; uncorrected energy = -1.736 eV/atom
1.0
5.697 -3.276 0.000
5.697 3.276 0.000
-2.232 0.000 8.851
Ba Mg Zn
4 2 4
direct
0.006 0.701 0.856 Ba
0.299 0.994 0.644 Ba
0.701 0.006 0.356 Ba
0.994 0.299 0.144 Ba
0.375 0.625 0.250 Mg
0.625 0.375 0.750 Mg
0.208 0.504 0.500 Zn
0.496 0.792 0.000 Zn
0.504 0.208 0.000 Zn
0.792 0.496 0.500 Zn

2.
TaAlCu2H (PBE, relaxed); calculated volume = 59.9 Å³/cell; symmetry = P4/mmm, No. 123; uncorrected energy = -5.475 eV/atom
1.0
3.877 0.000 0.000
0.000 3.877 0.000
0.000 0.000 3.988
Ta Al Cu H
1 1 2 1
direct
0.000 0.000 0.000 Ta
0.500 0.500 0.000 Al
0.000 0.500 0.500 Cu
0.500 0.000 0.500 Cu
0.000 0.000 0.500 H

3.
ReWS (PBE, relaxed); calculated volume = 97.1 Å³/cell; symmetry = P1, No. 1; E_form (uncorrected) = 0.151 eV per atom; uncorrected energy = -9.692 eV/atom
1.0
3.009 0.000 0.000
0.001 3.142 0.000
0.030 0.032 10.268
Re W S
2 2 2
direct
0.000 0.000 0.000 Re
0.479 0.500 0.852 Re
0.465 0.496 0.165 W
0.968 0.493 0.453 W
0.465 0.492 0.630 S
0.467 0.994 0.345 S

4.
HfRu (PBE, relaxed); calculated volume = 146.0 Å³/cell; symmetry = I4/mmm, No. 139; formation energy = -122.1 meV per atom; uncorrected energy = -9.737 eV/atom
1.0
-4.797 4.797 1.586
4.797 -4.797 1.586
4.797 4.797 -1.586
Hf Ru
4 4
direct
0.156 0.156 0.312 Hf
0.156 0.844 0.000 Hf
0.844 0.156 0.000 Hf
0.844 0.844 0.688 Hf
0.166 0.500 0.666 Ru
0.500 0.166 0.666 Ru
0.500 0.834 0.334 Ru
0.834 0.500 0.334 Ru

5.
ErMgGaIr (PBE, relaxed); calculated volume = 74.7 Å³/cell; symmetry = F-43m, No. 216; formation energy = -507.8 meV per atom; uncorrected energy = -5.019 eV/atom
1.0
0.000 3.342 3.342
3.342 0.000 3.342
3.342 3.342 0.000
Er Mg Ga Ir
1 1 1 1
direct
0.000 0.000 0.000 Er
0.500 0.500 0.500 Mg
0.250 0.250 0.250 Ga
0.750 0.750 0.750 Ir

6.
La2NdHg5 (PBE, relaxed); calculated volume = 220.4 Å³/cell; symmetry = I4/mmm, No. 139; formation energy = -456.0 meV per atom; uncorrected energy = -2.473 eV/atom
1.0
-2.678 2.678 7.682
2.678 -2.678 7.682
2.678 2.678 -7.682
La Nd Hg
2 1 5
direct
0.231 0.231 0.000 La
0.769 0.769 0.000 La
0.500 0.500 0.000 Nd
0.000 0.000 0.000 Hg
0.118 0.618 0.500 Hg
0.382 0.882 0.500 Hg
0.618 0.118 0.500 Hg
0.882 0.382 0.500 Hg

7.
SrPN2 (PBE, relaxed); polymorph energy (0 for the lowest one) = 66.7 meV per atom; calculated volume = 100.5 Å³/cell; symmetry = I-42d, No. 122; E_form (uncorrected) = -0.311 eV per atom; uncorrected energy = -6.247 eV/atom
1.0
-2.794 2.794 3.219
2.794 -2.794 3.219
2.794 2.794 -3.219
Sr P N
2 2 4
direct
0.000 0.000 0.000 Sr
0.750 0.250 0.500 Sr
0.250 0.750 0.500 P
0.500 0.500 0.000 P
0.263 0.625 0.138 N
0.375 0.513 0.638 N
0.487 0.125 0.862 N
0.875 0.737 0.362 N

8.
Rb2Tl2Ru (PBE, relaxed); calculated volume = 358.3 Å³/cell; symmetry = P4/mbm, No. 127; formation energy = 397.5 meV per atom; uncorrected energy = -2.791 eV/atom
1.0
7.457 0.000 0.000
0.000 7.457 0.000
0.000 0.000 6.443
Rb Tl Ru
4 4 2
direct
0.174 0.326 0.000 Rb
0.326 0.826 0.000 Rb
0.674 0.174 0.000 Rb
0.826 0.674 0.000 Rb
0.194 0.694 0.500 Tl
0.306 0.194 0.500 Tl
0.694 0.806 0.500 Tl
0.806 0.306 0.500 Tl
0.000 0.000 0.500 Ru
0.500 0.500 0.500 Ru